No. 1
Compound: HoSbTe3
Source: Alexandria
Functional: GGA-PBE
Structure: optimized geometry

Structure (POSCAR):
```
HoSbTe3
1.0
11.2405 0.0000 0.0000
0.0000 4.3361 0.0000
0.0000 0.0000 14.6828
Ho Sb Te
4 4 12
Direct
0.1576 0.2500 0.0282
0.3424 0.7500 0.5282
0.6576 0.2500 0.4718
0.8424 0.7500 0.9718
0.0500 0.2500 0.6404
0.4500 0.7500 0.1404
0.5500 0.2500 0.8596
0.9500 0.7500 0.3596
0.0196 0.7500 0.1265
0.1587 0.2500 0.4592
0.2004 0.7500 0.7085
0.2996 0.2500 0.2085
0.3413 0.7500 0.9592
0.4804 0.2500 0.6265
0.5196 0.7500 0.3735
0.6587 0.2500 0.0408
0.7004 0.7500 0.7915
0.7996 0.2500 0.2915
0.8413 0.7500 0.5408
0.9804 0.2500 0.8735
```

Calculated values
**Calculated density**: 6.21 g/cm3
**Energy above the most stable polymorph in this dataset**: 0.0000 eV/atom
**Formation energy without anion corrections**: -0.72 eV/atom
**Calculated volume**: 35.8 A^3/atom
**Total magnetization**: 0.0000 μB/atom

=====

No. 2
Compound: Ho3SbTe6
Source: Alexandria
Functional: GGA-PBE
Structure: optimized geometry

Structure (POSCAR):
```
Ho3SbTe6
1.0
5.9363 -7.4828 0.0000
5.9363 7.4828 0.0000
0.0000 0.0000 7.5228
Ho Sb Te
6 2 12
Direct
0.0906 0.9094 0.5000
0.2189 0.4190 0.3871
0.4190 0.2189 0.8871
0.5810 0.7811 0.3871
0.7811 0.5810 0.8871
0.9094 0.0906 0.0000
0.3225 0.6775 0.8711
0.6775 0.3225 0.3711
0.0608 0.5985 0.6618
0.1305 0.2045 0.6998
0.2045 0.1305 0.1998
0.2654 0.7346 0.2511
0.4015 0.9392 0.6618
0.4955 0.5045 0.6200
0.5045 0.4955 0.1200
0.5985 0.0608 0.1618
0.7346 0.2654 0.7511
0.7955 0.8695 0.6998
0.8695 0.7955 0.1998
0.9392 0.4015 0.1618
```

Calculated values
**Calculated density**: 6.87 g/cm3
**Formation energy without anion corrections**: -0.98 eV/atom
**Calculated volume**: 33.4 A^3/atom
**Total magnetization**: 0.0000 μB/atom

=====

No. 3
Compound: Ho3Sb5Te12
Source: Alexandria
Functional: GGA-PBE
Structure: optimized geometry

Structure (POSCAR):
```
Ho3Sb5Te12
1.0
-9.0521 9.0521 9.0521
9.0521 -9.0521 9.0521
9.0521 9.0521 -9.0521
Ho Sb Te
12 20 48
Direct
0.1250 0.2500 0.3750
0.1250 0.3750 0.7500
0.2500 0.3750 0.1250
0.2500 0.8750 0.6250
0.3750 0.1250 0.2500
0.3750 0.7500 0.1250
0.6250 0.2500 0.8750
0.6250 0.8750 0.7500
0.7500 0.1250 0.3750
0.7500 0.6250 0.8750
0.8750 0.6250 0.2500
0.8750 0.7500 0.6250
0.0000 0.0000 0.0000
0.0000 0.0000 0.5000
0.0000 0.5000 0.0000
0.0000 0.5000 0.5000
0.1250 0.7500 0.8750
0.1250 0.8750 0.2500
0.2500 0.1250 0.8750
0.2500 0.6250 0.3750
0.3750 0.2500 0.6250
0.3750 0.6250 0.7500
0.5000 0.0000 0.0000
0.5000 0.0000 0.5000
0.5000 0.5000 0.0000
0.5000 0.5000 0.5000
0.6250 0.3750 0.2500
0.6250 0.7500 0.3750
0.7500 0.3750 0.6250
0.7500 0.8750 0.1250
0.8750 0.1250 0.7500
0.8750 0.2500 0.1250
0.0558 0.2232 0.1412
0.0558 0.3326 0.9146
0.0820 0.7232 0.6674
0.0820 0.8588 0.4146
0.0854 0.6412 0.4180
0.0854 0.9442 0.6674
0.1412 0.0558 0.2232
0.1412 0.5854 0.9180
0.1674 0.2232 0.5820
0.1674 0.4442 0.5854
0.2232 0.1412 0.0558
0.2232 0.5820 0.1674
0.2768 0.3326 0.9180
0.2768 0.4442 0.3588
0.3326 0.9146 0.0558
0.3326 0.9180 0.2768
0.3588 0.2768 0.4442
0.3588 0.5820 0.9146
0.4146 0.0820 0.8588
0.4146 0.8326 0.5558
0.4180 0.0854 0.6412
0.4180 0.8326 0.7768
0.4442 0.3588 0.2768
0.4442 0.5854 0.1674
0.5558 0.4146 0.8326
0.5558 0.6412 0.7232
0.5820 0.1674 0.2232
0.5820 0.9146 0.3588
0.5854 0.1674 0.4442
0.5854 0.9180 0.1412
0.6412 0.4180 0.0854
0.6412 0.7232 0.5558
0.6674 0.0820 0.7232
0.6674 0.0854 0.9442
0.7232 0.5558 0.6412
0.7232 0.6674 0.0820
0.7768 0.4180 0.8326
0.7768 0.8588 0.9442
0.8326 0.5558 0.4146
0.8326 0.7768 0.4180
0.8588 0.4146 0.0820
0.8588 0.9442 0.7768
0.9146 0.0558 0.3326
0.9146 0.3588 0.5820
0.9180 0.1412 0.5854
0.9180 0.2768 0.3326
0.9442 0.6674 0.0854
0.9442 0.7768 0.8588
```

Calculated values
**Calculated density**: 5.90 g/cm3
**Formation energy without anion corrections**: -0.39 eV/atom
**DOS(E_F)**: 20.6 states/eV/cell
**Calculated volume**: 37.1 A^3/atom
**Total magnetization**: 0.0000 μB/atom

=====

No. 4
Compound: Ho3SbTe2
Source: Alexandria
Functional: GGA-PBE
Structure: optimized geometry

Structure (POSCAR):
```
Ho3SbTe2
1.0
3.7649 -6.5129 0.0000
3.7649 6.5129 0.0000
-2.5019 0.0000 7.1229
Ho Sb Te
6 2 4
Direct
0.0789 0.4182 0.7585
0.2378 0.2378 0.2389
0.4182 0.0789 0.7585
0.5818 0.9211 0.2415
0.7622 0.7622 0.7611
0.9211 0.5818 0.2415
0.1677 0.8323 0.0000
0.8323 0.1677 0.0000
0.0000 0.0000 0.5000
0.3360 0.6640 0.5000
0.5000 0.5000 0.0000
0.6640 0.3360 0.5000
```

Calculated values
**Calculated density**: 8.29 g/cm3
**Energy above the most stable polymorph in this dataset**: 0.0028 eV/atom
**Formation energy without anion corrections**: -1.24 eV/atom
**DOS(E_F)**: 6.0 states/eV/cell
**Calculated volume**: 29.1 A^3/atom
**Total magnetization**: 0.0000 μB/atom